{"formula": "TbNpZn", "functional": "PBE", "state": "optimized geometry", "density_g_cm3": 9.567, "sg": "No. 216", "formation_enthalpy_0k_ev_per_fu": 2.71, "vol_a3_per_cell": 80, "lattice": [[0.0000, 3.4210, 3.4210], [3.4210, 0.0000, 3.4210], [3.4210, 3.4210, 0.0000]], "species": ["Tb", "Np", "Zn"], "frac_coords": [[0.0000, 0.0000, 0.0000], [0.2500, 0.2500, 0.2500], [0.5000, 0.5000, 0.5000]]}

***

{"formula": "TbZrNp", "functional": "PBE", "state": "optimized geometry", "density_g_cm3": 9.583, "sg": "No. 216", "formation_enthalpy_0k_ev_per_fu": 3.67, "vol_a3_per_cell": 84, "lattice": [[0.0000, 3.4817, 3.4817], [3.4817, 0.0000, 3.4817], [3.4817, 3.4817, 0.0000]], "species": ["Tb", "Zr", "Np"], "frac_coords": [[0.0000, 0.0000, 0.0000], [0.5000, 0.5000, 0.5000], [0.2500, 0.2500, 0.2500]]}

***

{"formula": "NpTc", "functional": "PBE", "state": "optimized geometry", "density_g_cm3": 11.579, "sg": "No. 216", "formation_enthalpy_0k_ev_per_fu": 2.24, "vol_a3_per_cell": 48, "relative_energy_ev_per_atom": 0.747, "lattice": [[0.0000, 2.8854, 2.8854], [2.8854, 0.0000, 2.8854], [2.8854, 2.8854, 0.0000]], "species": ["Np", "Tc"], "frac_coords": [[0.0000, 0.0000, 0.0000], [0.7500, 0.7500, 0.7500]]}

***

{"formula": "NpTc", "functional": "PBE", "state": "optimized geometry", "density_g_cm3": 15.501, "sg": "No. 187", "formation_enthalpy_0k_ev_per_fu": 0.75, "vol_a3_per_cell": 36, "relative_energy_ev_per_atom": 0.000, "lattice": [[3.0156, 0.0000, 0.0000], [-1.5078, 2.6116, 0.0000], [0.0000, 0.0000, 4.5567]], "species": ["Np", "Tc"], "frac_coords": [[0.0000, 0.0000, 0.0000], [0.6667, 0.3333, 0.5000]]}

***

{"formula": "NpTc", "functional": "PBE", "state": "optimized geometry", "density_g_cm3": 14.186, "sg": "No. 225", "formation_enthalpy_0k_ev_per_fu": 0.95, "vol_a3_per_cell": 39, "relative_energy_ev_per_atom": 0.102, "lattice": [[0.0000, 2.6965, 2.6965], [2.6965, 0.0000, 2.6965], [2.6965, 2.6965, 0.0000]], "species": ["Np", "Tc"], "frac_coords": [[0.0000, 0.0000, 0.0000], [0.5000, 0.5000, 0.5000]]}

***

{"formula": "NpTcTe", "functional": "PBE", "state": "optimized geometry", "density_g_cm3": 10.956, "sg": "No. 216", "total_energy_ev_per_atom": -8.18, "vol_a3_per_cell": 70, "lattice": [[0.0000, 3.2729, 3.2729], [3.2729, 0.0000, 3.2729], [3.2729, 3.2729, 0.0000]], "species": ["Np", "Tc", "Te"], "frac_coords": [[0.0000, 0.0000, 0.0000], [0.5000, 0.5000, 0.5000], [0.2500, 0.2500, 0.2500]]}

***

Copy entry 1 word for word.
{"formula": "TbNpZn", "functional": "PBE", "state": "optimized geometry", "density_g_cm3": 9.567, "sg": "No. 216", "formation_enthalpy_0k_ev_per_fu": 2.71, "vol_a3_per_cell": 80, "lattice": [[0.0000, 3.4210, 3.4210], [3.4210, 0.0000, 3.4210], [3.4210, 3.4210, 0.0000]], "species": ["Tb", "Np", "Zn"], "frac_coords": [[0.0000, 0.0000, 0.0000], [0.2500, 0.2500, 0.2500], [0.5000, 0.5000, 0.5000]]}